1.
This record from the Alexandria database describes AcPm3Os after structural relaxation. The functional is GGA-PBE.

a b c (Å): 5.6369 5.6369 5.6369
angles (deg): 90.00 90.00 90.00
Space group Pm-3m (No. 221)
Unique sites:
Ac 0.0000 0.0000 0.0000 [1 per cell]
Pm 0.0000 0.5000 0.5000 [3 per cell]
Os 0.5000 0.5000 0.5000 [1 per cell]

Values from the calculation:
Energy of formation   57.3 meV per atom
Energy above the lowest structure with this stoichiometry   131 meV per atom

2.
This record from the Alexandria database describes TaCo2 after structural relaxation. The functional is GGA-PBE.

a b c (Å): 4.6140 4.6140 7.7526
angles (deg): 90.00 90.00 90.00
Space group I4/mcm (No. 140)
Unique sites:
Ta 0.0000 0.0000 0.2500 [4 per cell]
Co 0.1749 0.3251 0.0000 [8 per cell]

Values from the calculation:
Energy of formation   157.0 meV per atom

3.
This record from the Alexandria database describes AcAgPS4 after structural relaxation. The functional is GGA-PBE.

a b c (Å): 6.7709 6.7709 7.7092
angles (deg): 90.00 90.00 90.00
Space group I-4 (No. 82)
Unique sites:
Ac 0.0000 0.0000 0.0000 [2 per cell]
Ag 0.0000 0.0000 0.5000 [2 per cell]
P 0.0000 0.5000 0.2500 [2 per cell]
S 0.1917 0.7510 0.3248 [8 per cell]

Values from the calculation:
Raw formation energy   -681 meV/atom

4.
This record from the Alexandria database describes RbHgCl2 after structural relaxation. The functional is GGA-PBE.

a b c (Å): 4.9809 4.9809 25.9600
angles (deg): 90.00 90.00 120.00
Space group R-3m (No. 166, hexagonal axes)
Unique sites:
Rb 0.0000 0.0000 0.0000 [3 per cell]
Hg 0.0000 0.0000 0.5000 [3 per cell]
Cl 0.0000 0.0000 0.3977 [6 per cell]

Values from the calculation:
Energy above the lowest structure with this stoichiometry   61 meV per atom
Raw formation energy   -984 meV/atom

5.
This record from the Alexandria database describes AcLa3Ge2 after structural relaxation. The functional is GGA-PBE.

a b c (Å): 18.3897 4.6462 9.7265
angles (deg): 90.00 114.65 90.00
Space group C2/m (No. 12)
Unique sites:
Ac 0.1166 0.0000 0.1359 [4 per cell]
La 0.0510 0.0000 0.6959 [4 per cell]
La 0.1517 0.5000 0.4732 [4 per cell]
La 0.1905 0.5000 0.8863 [4 per cell]
Ge 0.0093 0.5000 0.8672 [4 per cell]
Ge 0.2348 0.0000 0.7109 [4 per cell]

Values from the calculation:
Energy of formation   -561.4 meV per atom

6.
This record from the Alexandria database describes LiY4Au2 after structural relaxation. The functional is GGA-PBE.

a b c (Å): 5.0226 5.0226 25.9419
angles (deg): 90.00 90.00 120.00
Space group R-3m (No. 166, hexagonal axes)
Unique sites:
Li 0.0000 0.0000 0.0000 [3 per cell]
Y 0.0000 0.0000 0.2087 [6 per cell]
Y 0.0000 0.0000 0.3795 [6 per cell]
Au 0.0000 0.0000 0.0945 [6 per cell]

Values from the calculation:
Energy of formation   -373.5 meV per atom

7.
This record from the Alexandria database describes Fe2RuRh after structural relaxation. The functional is GGA-PBE.

a b c (Å): 2.7690 2.7690 6.7581
angles (deg): 90.00 90.00 90.00
Space group P4mm (No. 99)
Unique sites:
Fe 0.0000 0.0000 0.0000 [1 per cell]
Fe 0.5000 0.5000 0.2214 [1 per cell]
Ru 0.5000 0.5000 0.7585 [1 per cell]
Rh 0.0000 0.0000 0.4756 [1 per cell]

Values from the calculation:
Energy of formation   73.1 meV per atom

8.
This record from the Alexandria database describes NaAs2SeBr after structural relaxation. The functional is GGA-PBE.

a b c (Å): 4.9088 4.9088 8.1976
angles (deg): 90.00 90.00 90.00
Space group P4/mmm (No. 123)
Unique sites:
Na 0.0000 0.0000 0.0000 [1 per cell]
As 0.0000 0.5000 0.5000 [2 per cell]
Se 0.5000 0.5000 0.5000 [1 per cell]
Br 0.5000 0.5000 0.0000 [1 per cell]

Values from the calculation:
Energy above the lowest structure with this stoichiometry   0 meV per atom
Raw formation energy   172 meV/atom

9.
This record from the Alexandria database describes SmCuH after structural relaxation. The functional is GGA-PBE.

a b c (Å): 3.4979 3.4979 8.7154
angles (deg): 90.00 90.00 90.00
Space group I4mm (No. 107)
Unique sites:
Sm 0.0000 0.0000 0.0000 [2 per cell]
Cu 0.0000 0.0000 0.6777 [2 per cell]
H 0.0000 0.0000 0.4792 [2 per cell]

Values from the calculation:
Energy above the lowest structure with this stoichiometry   0 meV per atom

10.
This record from the Alexandria database describes TbEu2Tl after structural relaxation. The functional is GGA-PBE.

a b c (Å): 4.9293 4.9293 5.2248
angles (deg): 90.00 90.00 90.00
Space group P4/mmm (No. 123)
Unique sites:
Tb 0.0000 0.0000 0.0000 [1 per cell]
Eu 0.0000 0.5000 0.5000 [2 per cell]
Tl 0.5000 0.5000 0.0000 [1 per cell]

Values from the calculation:
Energy of formation   -147.5 meV per atom
Energy above the lowest structure with this stoichiometry   0 meV per atom

11.
This record from the Alexandria database describes AlBiS after structural relaxation. The functional is GGA-PBE.

a b c (Å): 3.4684 6.5845 8.6530
angles (deg): 96.02 101.50 103.92
Space group P-1 (No. 2)
Unique sites:
Al 0.1827 0.0141 0.3519 [2 per cell]
Bi 0.1515 0.2262 0.0949 [2 per cell]
S 0.4031 0.2121 0.6129 [2 per cell]

Values from the calculation:
Raw formation energy   -541 meV/atom

| no. | E_tot (eV per atom) |
| --- | --- |
| 1 | -5.86 |
| 2 | -8.53 |
| 3 | -4.81 |
| 4 | -2.22 |
| 5 | -5.25 |
| 6 | -5.28 |
| 7 | -8.32 |
| 8 | -2.98 |
| 9 | -4.08 |
| 10 | -7.03 |
| 11 | -4.46 |